Record 1
## KUTaS6 (PBE)

Data for a relaxed structure of KUTaS6.

```
KUTaS6
1.0
6.506 0.000 0.000
-3.253 5.634 0.000
0.000 0.000 7.228
K U Ta S
1 1 1 6
Cartesian
0.000 0.000 0.000
3.253 1.878 3.614
0.000 3.756 3.614
-1.176 2.168 5.066
-1.964 3.532 2.162
1.176 2.168 2.162
-0.787 5.569 5.066
1.964 3.532 5.066
0.787 5.569 2.162
```

## Properties
Calculated density in Mg/m³: 4.077
DFT total energy in eV/cell: -59.06

---

Record 2
## SrLaTe2O8 (PBE)

Data for a relaxed structure of SrLaTe2O8.

```
SrLaTe2O8
1.0
-2.765 2.765 5.980
2.765 -2.765 5.980
2.765 2.765 -5.980
Sr La Te O
1 1 2 8
Cartesian
0.000 0.000 0.000
2.765 0.000 2.990
0.000 0.000 5.980
0.000 2.765 2.990
1.394 -0.855 4.910
1.910 1.371 1.071
-0.879 1.446 2.017
1.371 3.620 -1.071
1.320 1.886 3.964
0.855 1.394 7.051
0.879 4.085 2.017
-1.320 3.644 3.964
```

## Properties
Calculated density in Mg/m³: 5.535
Density of states at the Fermi level in states/eV per atom: 0.219
DFT total energy in eV/cell: -74.76

---

Record 3
## LiDy3Rh8 (PBE)

Data for a relaxed structure of LiDy3Rh8.

```
LiDy3Rh8
1.0
2.640 1.524 8.668
-2.640 1.524 8.668
0.000 -3.048 8.668
Li Dy Rh
1 3 8
Cartesian
0.000 0.000 0.000
0.000 0.000 3.152
0.000 0.000 13.119
0.000 0.000 16.485
0.000 -1.524 6.057
-1.320 0.762 6.057
-1.313 -0.758 10.382
0.000 0.000 8.221
1.313 -0.758 10.382
0.000 1.517 10.382
1.320 0.762 6.057
0.000 0.000 21.219
```

## Properties
Calculated density in Mg/m³: 10.458
Density of states at the Fermi level in states/eV per atom: 0.632
Energy of formation in meV per atom: -612

---

Record 4
## V3CrP (PBE)

Data for a relaxed structure of V3CrP.

```
V3CrP
1.0
4.278 0.000 0.000
0.000 4.278 0.000
0.000 0.000 4.278
V Cr P
3 1 1
Cartesian
0.000 0.000 2.139
0.000 2.139 0.000
2.139 0.000 0.000
0.000 0.000 0.000
2.139 2.139 2.139
```

## Properties
Calculated density in Mg/m³: 5.000
Density of states at the Fermi level in states/eV per atom: 0.950
Energy of formation in meV per atom: 907
Energy relative to the lowest polymorph listed for this composition in meV/atom: 1006

---

> Look up the calculated density of the fourth one.

5.000 Mg/m³

---

Repeat the third record exactly.
## LiDy3Rh8 (PBE)

Data for a relaxed structure of LiDy3Rh8.

```
LiDy3Rh8
1.0
2.640 1.524 8.668
-2.640 1.524 8.668
0.000 -3.048 8.668
Li Dy Rh
1 3 8
Cartesian
0.000 0.000 0.000
0.000 0.000 3.152
0.000 0.000 13.119
0.000 0.000 16.485
0.000 -1.524 6.057
-1.320 0.762 6.057
-1.313 -0.758 10.382
0.000 0.000 8.221
1.313 -0.758 10.382
0.000 1.517 10.382
1.320 0.762 6.057
0.000 0.000 21.219
```

## Properties
Calculated density in Mg/m³: 10.458
Density of states at the Fermi level in states/eV per atom: 0.632
Energy of formation in meV per atom: -612

---

> Number 3 is which compound?

LiDy3Rh8

---

Repeat the first record exactly.
## KUTaS6 (PBE)

Data for a relaxed structure of KUTaS6.

```
KUTaS6
1.0
6.506 0.000 0.000
-3.253 5.634 0.000
0.000 0.000 7.228
K U Ta S
1 1 1 6
Cartesian
0.000 0.000 0.000
3.253 1.878 3.614
0.000 3.756 3.614
-1.176 2.168 5.066
-1.964 3.532 2.162
1.176 2.168 2.162
-0.787 5.569 5.066
1.964 3.532 5.066
0.787 5.569 2.162
```

## Properties
Calculated density in Mg/m³: 4.077
DFT total energy in eV/cell: -59.06